1.
{
  "formula": "CdHg2Pt",
  "functional": "PBE",
  "state": "optimized geometry",
  "lattice": [[1.5591, 0.9001, 9.7609], [-1.5591, 0.9001, 9.7609], [0.0000, -1.8003, 9.7609]],
  "species": ["Cd", "Hg", "Hg", "Pt"],
  "fractional_positions": [[0.0000, 0.0000, 0.0000], [0.2442, 0.2442, 0.2442], [0.7558, 0.7558, 0.7558], [0.5000, 0.5000, 0.5000]],
  "e_form_ev_per_atom": 0.111,
  "e_tot_ev_per_atom": -1.779,
  "space_group": "R-3m",
  "magnetic_moment_mub_per_fu": 0.00
}

=====

2.
{
  "formula": "Cd5HgPt6",
  "functional": "PBE",
  "state": "optimized geometry",
  "lattice": [[4.4425, -6.3562, 0.0000], [4.4425, 6.3562, 0.0000], [-2.0408, 0.0000, 3.7484]],
  "species": ["Cd", "Cd", "Cd", "Cd", "Cd", "Hg", "Pt", "Pt", "Pt", "Pt", "Pt", "Pt"],
  "fractional_positions": [[0.0000, 0.0000, 0.0000], [0.1665, 0.8335, 0.5000], [0.3328, 0.6672, 0.0000], [0.6672, 0.3328, 0.0000], [0.8335, 0.1665, 0.5000], [0.5000, 0.5000, 0.5000], [0.0813, 0.4164, 0.2488], [0.2479, 0.2479, 0.7479], [0.4164, 0.0813, 0.2488], [0.5836, 0.9187, 0.7512], [0.7521, 0.7521, 0.2521], [0.9187, 0.5836, 0.7512]],
  "e_form_ev_per_atom": -0.269,
  "e_tot_ev_per_atom": -3.696,
  "space_group": "C2/m",
  "magnetic_moment_mub_per_fu": 0.00
}

=====

3.
{
  "formula": "CdHg2Pt",
  "functional": "PBE",
  "state": "optimized geometry",
  "lattice": [[2.9190, -4.3991, 0.0000], [2.9190, 4.3991, 0.0000], [0.0000, 0.0000, 3.1133]],
  "species": ["Cd", "Hg", "Hg", "Pt"],
  "fractional_positions": [[0.0000, 0.0000, 0.0000], [0.0000, 0.5000, 0.5000], [0.5000, 0.0000, 0.5000], [0.5000, 0.5000, 0.0000]],
  "e_form_ev_per_atom": 0.097,
  "e_tot_ev_per_atom": -1.793,
  "space_group": "Cmmm",
  "magnetic_moment_mub_per_fu": 0.00
}

=====

4.
{
  "formula": "CdHgPt2",
  "functional": "PBE",
  "state": "optimized geometry",
  "lattice": [[1.4976, 0.8647, 9.2743], [-1.4976, 0.8647, 9.2743], [0.0000, -1.7293, 9.2743]],
  "species": ["Cd", "Hg", "Pt", "Pt"],
  "fractional_positions": [[0.0000, 0.0000, 0.0000], [0.5000, 0.5000, 0.5000], [0.2526, 0.2526, 0.2526], [0.7474, 0.7474, 0.7474]],
  "e_form_ev_per_atom": -0.039,
  "e_tot_ev_per_atom": -3.364,
  "space_group": "R-3m",
  "magnetic_moment_mub_per_fu": 0.00
}

=====

5.
{
  "formula": "CdHg2Pt",
  "functional": "PBE",
  "state": "optimized geometry",
  "lattice": [[3.1577, 0.0000, 0.0000], [0.0000, 5.0270, 0.0000], [-0.1170, 0.0000, 5.1729]],
  "species": ["Cd", "Hg", "Hg", "Pt"],
  "fractional_positions": [[0.0000, 0.0000, 0.0000], [0.2634, 0.5000, 0.2549], [0.7366, 0.5000, 0.7451], [0.5000, 0.0000, 0.5000]],
  "e_form_ev_per_atom": 0.054,
  "e_tot_ev_per_atom": -1.836,
  "space_group": "P2/m",
  "magnetic_moment_mub_per_fu": 0.00
}

=====

6.
{
  "formula": "Cd8Hg2Pt",
  "functional": "PBE",
  "state": "optimized geometry",
  "lattice": [[9.7473, -2.3930, 0.0000], [9.7473, 2.3930, 0.0000], [-1.4780, 0.0000, 5.4033]],
  "species": ["Cd", "Cd", "Cd", "Cd", "Cd", "Cd", "Cd", "Cd", "Hg", "Hg", "Pt"],
  "fractional_positions": [[0.0242, 0.0242, 0.2680], [0.2422, 0.2422, 0.1589], [0.3533, 0.3533, 0.7934], [0.4206, 0.4206, 0.3485], [0.5794, 0.5794, 0.6515], [0.6467, 0.6467, 0.2066], [0.7578, 0.7578, 0.8411], [0.9758, 0.9758, 0.7320], [0.1744, 0.1744, 0.5903], [0.8256, 0.8256, 0.4097], [0.5000, 0.5000, 0.0000]],
  "e_form_ev_per_atom": -0.064,
  "e_tot_ev_per_atom": -1.334,
  "space_group": "C2/m",
  "magnetic_moment_mub_per_fu": 0.00
}

=====

7.
{
  "formula": "CdHgPt2",
  "functional": "PBE",
  "state": "optimized geometry",
  "lattice": [[-1.4853, 2.4208, 5.1063], [1.4853, -2.4208, 5.1063], [1.4853, 2.4208, -5.1063]],
  "species": ["Cd", "Hg", "Pt", "Pt"],
  "fractional_positions": [[0.0000, 0.0000, 0.0000], [0.2801, 0.7801, 0.5000], [0.5267, 0.5267, 0.0000], [0.7568, 0.2568, 0.5000]],
  "e_form_ev_per_atom": -0.068,
  "e_tot_ev_per_atom": -3.393,
  "space_group": "Imm2",
  "magnetic_moment_mub_per_fu": 0.00
}

=====

8.
{
  "formula": "CdHgPt2",
  "functional": "PBE",
  "state": "optimized geometry",
  "lattice": [[0.0000, 3.3009, 3.3009], [3.3009, 0.0000, 3.3009], [3.3009, 3.3009, 0.0000]],
  "species": ["Cd", "Hg", "Pt", "Pt"],
  "fractional_positions": [[0.0000, 0.0000, 0.0000], [0.5000, 0.5000, 0.5000], [0.2500, 0.2500, 0.2500], [0.7500, 0.7500, 0.7500]],
  "e_form_ev_per_atom": -0.088,
  "e_tot_ev_per_atom": -3.413,
  "space_group": "Fm-3m",
  "magnetic_moment_mub_per_fu": 0.00
}

=====

9.
{
  "formula": "Cd4HgPt15",
  "functional": "PBE",
  "state": "optimized geometry",
  "lattice": [[4.0358, 0.0000, 0.0000], [0.0000, 4.0358, 0.0000], [0.0000, 0.0000, 20.3315]],
  "species": ["Cd", "Cd", "Cd", "Cd", "Hg", "Pt", "Pt", "Pt", "Pt", "Pt", "Pt", "Pt", "Pt", "Pt", "Pt", "Pt", "Pt", "Pt", "Pt", "Pt"],
  "fractional_positions": [[0.0000, 0.0000, 0.0997], [0.0000, 0.0000, 0.2992], [0.0000, 0.0000, 0.7008], [0.0000, 0.0000, 0.9003], [0.0000, 0.0000, 0.5000], [0.0000, 0.5000, 0.0000], [0.0000, 0.5000, 0.1994], [0.0000, 0.5000, 0.3985], [0.0000, 0.5000, 0.6015], [0.0000, 0.5000, 0.8006], [0.5000, 0.0000, 0.0000], [0.5000, 0.0000, 0.1994], [0.5000, 0.0000, 0.3985], [0.5000, 0.0000, 0.6015], [0.5000, 0.0000, 0.8006], [0.5000, 0.5000, 0.0998], [0.5000, 0.5000, 0.2989], [0.5000, 0.5000, 0.5000], [0.5000, 0.5000, 0.7011], [0.5000, 0.5000, 0.9002]],
  "e_form_ev_per_atom": -0.136,
  "e_tot_ev_per_atom": -4.865,
  "space_group": "P4/mmm",
  "magnetic_moment_mub_per_fu": 0.00
}

=====

10.
{
  "formula": "PuCdHgPt",
  "functional": "PBE",
  "state": "optimized geometry",
  "lattice": [[0.0000, 3.5387, 3.5387], [3.5387, 0.0000, 3.5387], [3.5387, 3.5387, 0.0000]],
  "species": ["Pu", "Cd", "Hg", "Pt"],
  "fractional_positions": [[0.0000, 0.0000, 0.0000], [0.5000, 0.5000, 0.5000], [0.2500, 0.2500, 0.2500], [0.7500, 0.7500, 0.7500]],
  "e_form_ev_per_atom": -0.299,
  "e_tot_ev_per_atom": -5.697,
  "space_group": "F-43m",
  "magnetic_moment_mub_per_fu": 5.48
}

=====

11.
{
  "formula": "Rb2CdHg6Pt",
  "functional": "PBE",
  "state": "optimized geometry",
  "lattice": [[7.4635, 0.0000, 0.0000], [-3.7317, 6.4636, 0.0000], [0.0000, 0.0000, 6.3174]],
  "species": ["Rb", "Rb", "Cd", "Hg", "Hg", "Hg", "Hg", "Hg", "Hg", "Pt"],
  "fractional_positions": [[0.3333, 0.6667, 0.2081], [0.6667, 0.3333, 0.7919], [0.0000, 0.0000, 0.0000], [0.1925, 0.3850, 0.7106], [0.1925, 0.8075, 0.7106], [0.3850, 0.1925, 0.2894], [0.6150, 0.8075, 0.7106], [0.8075, 0.1925, 0.2894], [0.8075, 0.6150, 0.2894], [0.0000, 0.0000, 0.5000]],
  "e_form_ev_per_atom": -0.153,
  "e_tot_ev_per_atom": -1.223,
  "space_group": "P-3m1",
  "magnetic_moment_mub_per_fu": 0.00
}

=====

12.
{
  "formula": "RbCd2HgPt",
  "functional": "PBE",
  "state": "optimized geometry",
  "lattice": [[5.3040, 0.0000, 0.0000], [0.0000, 5.3040, 0.0000], [0.0000, 0.0000, 6.3063]],
  "species": ["Rb", "Cd", "Cd", "Hg", "Pt"],
  "fractional_positions": [[0.0000, 0.0000, 0.0000], [0.0000, 0.5000, 0.5000], [0.5000, 0.0000, 0.5000], [0.5000, 0.5000, 0.0000], [0.0000, 0.0000, 0.5000]],
  "e_form_ev_per_atom": -0.073,
  "e_tot_ev_per_atom": -1.902,
  "e_above_lowest_polymorph_mev_per_atom": 193,
  "space_group": "P4/mmm",
  "magnetic_moment_mub_per_fu": 0.00
}

=====

13.
{
  "formula": "RbCd2HgPt",
  "functional": "PBE",
  "state": "optimized geometry",
  "lattice": [[5.3442, 0.0000, 0.0000], [0.0000, 5.3442, 0.0000], [0.0000, 0.0000, 5.4196]],
  "species": ["Rb", "Cd", "Cd", "Hg", "Pt"],
  "fractional_positions": [[0.0000, 0.0000, 0.0000], [0.0000, 0.5000, 0.5000], [0.5000, 0.0000, 0.5000], [0.5000, 0.5000, 0.0000], [0.5000, 0.5000, 0.5000]],
  "e_form_ev_per_atom": -0.266,
  "e_tot_ev_per_atom": -2.094,
  "e_above_lowest_polymorph_mev_per_atom": 0,
  "space_group": "P4/mmm",
  "magnetic_moment_mub_per_fu": 0.00
}

=====

14.
{
  "formula": "Rb2Cd6HgPt",
  "functional": "PBE",
  "state": "optimized geometry",
  "lattice": [[7.8288, 0.0000, 0.0000], [0.0000, 10.3458, 0.0000], [0.0000, 0.0000, 7.7786]],
  "species": ["Rb", "Rb", "Rb", "Rb", "Cd", "Cd", "Cd", "Cd", "Cd", "Cd", "Cd", "Cd", "Cd", "Cd", "Cd", "Cd", "Hg", "Hg", "Pt", "Pt"],
  "fractional_positions": [[0.2500, 0.0387, 0.2160], [0.2500, 0.4613, 0.2160], [0.7500, 0.5387, 0.7840], [0.7500, 0.9613, 0.7840], [0.0241, 0.2500, 0.8765], [0.0603, 0.7500, 0.5338], [0.2500, 0.5030, 0.6955], [0.2500, 0.9970, 0.6955], [0.4397, 0.7500, 0.5338], [0.4759, 0.2500, 0.8765], [0.5241, 0.7500, 0.1235], [0.5603, 0.2500, 0.4662], [0.7500, 0.0030, 0.3045], [0.7500, 0.4970, 0.3045], [0.9397, 0.2500, 0.4662], [0.9759, 0.7500, 0.1235], [0.2500, 0.7500, 0.8815], [0.7500, 0.2500, 0.1185], [0.2500, 0.2500, 0.6162], [0.7500, 0.7500, 0.3838]],
  "e_form_ev_per_atom": -0.119,
  "e_tot_ev_per_atom": -1.496,
  "space_group": "Pmmn",
  "magnetic_moment_mub_per_fu": 0.00
}

=====

15.
{
  "formula": "RbCdHg2Pt",
  "functional": "PBE",
  "state": "optimized geometry",
  "lattice": [[5.4146, 0.0000, 0.0000], [0.0000, 5.4146, 0.0000], [0.0000, 0.0000, 5.3314]],
  "species": ["Rb", "Cd", "Hg", "Hg", "Pt"],
  "fractional_positions": [[0.0000, 0.0000, 0.0000], [0.5000, 0.5000, 0.0000], [0.0000, 0.5000, 0.5000], [0.5000, 0.0000, 0.5000], [0.5000, 0.5000, 0.5000]],
  "e_form_ev_per_atom": -0.278,
  "e_tot_ev_per_atom": -1.984,
  "space_group": "P4/mmm",
  "magnetic_moment_mub_per_fu": 0.00
}

=====

16.
{
  "formula": "CdHg2PtSe",
  "functional": "PBE",
  "state": "optimized geometry",
  "lattice": [[5.5813, 0.0000, 0.0000], [0.0000, 5.5813, 0.0000], [0.0000, 0.0000, 4.7087]],
  "species": ["Cd", "Hg", "Hg", "Pt", "Se"],
  "fractional_positions": [[0.0000, 0.0000, 0.0000], [0.0000, 0.5000, 0.5000], [0.5000, 0.0000, 0.5000], [0.5000, 0.5000, 0.0000], [0.5000, 0.5000, 0.5000]],
  "e_tot_ev_per_atom": -1.846,
  "formation_energy_uncorrected_kcal_per_mol_atoms": 8.362,
  "space_group": "P4/mmm",
  "magnetic_moment_mub_per_fu": 0.00
}

=====

17.
{
  "formula": "SmCdHgPt",
  "functional": "PBE",
  "state": "optimized geometry",
  "lattice": [[0.0000, 3.5380, 3.5380], [3.5380, 0.0000, 3.5380], [3.5380, 3.5380, 0.0000]],
  "species": ["Sm", "Cd", "Hg", "Pt"],
  "fractional_positions": [[0.0000, 0.0000, 0.0000], [0.5000, 0.5000, 0.5000], [0.2500, 0.2500, 0.2500], [0.7500, 0.7500, 0.7500]],
  "e_form_ev_per_atom": -0.564,
  "e_tot_ev_per_atom": -3.558,
  "space_group": "F-43m",
  "magnetic_moment_mub_per_fu": 0.00
}

=====

18.
{
  "formula": "Cd2SnHgPt",
  "functional": "PBE",
  "state": "optimized geometry",
  "lattice": [[5.3341, 0.0000, 0.0000], [0.0000, 5.3341, 0.0000], [0.0000, 0.0000, 5.0292]],
  "species": ["Cd", "Cd", "Sn", "Hg", "Pt"],
  "fractional_positions": [[0.0000, 0.5000, 0.0000], [0.5000, 0.0000, 0.0000], [0.0000, 0.0000, 0.5000], [0.5000, 0.5000, 0.5000], [0.0000, 0.0000, 0.0000]],
  "e_form_ev_per_atom": -0.121,
  "e_tot_ev_per_atom": -2.556,
  "space_group": "P4/mmm",
  "magnetic_moment_mub_per_fu": 0.00
}

=====

19.
{
  "formula": "SrCd2HgPt",
  "functional": "PBE",
  "state": "optimized geometry",
  "lattice": [[5.2323, 0.0000, 0.0000], [0.0000, 5.2323, 0.0000], [0.0000, 0.0000, 5.3176]],
  "species": ["Sr", "Cd", "Cd", "Hg", "Pt"],
  "fractional_positions": [[0.0000, 0.0000, 0.0000], [0.0000, 0.5000, 0.5000], [0.5000, 0.0000, 0.5000], [0.5000, 0.5000, 0.0000], [0.5000, 0.5000, 0.5000]],
  "e_form_ev_per_atom": -0.285,
  "e_tot_ev_per_atom": -2.256,
  "e_above_lowest_polymorph_mev_per_atom": 38,
  "space_group": "P4/mmm",
  "magnetic_moment_mub_per_fu": 0.00
}

=====

20.
{
  "formula": "SrCdHg2Pt",
  "functional": "PBE",
  "state": "optimized geometry",
  "lattice": [[5.3064, 0.0000, 0.0000], [0.0000, 5.3064, 0.0000], [0.0000, 0.0000, 5.2157]],
  "species": ["Sr", "Cd", "Hg", "Hg", "Pt"],
  "fractional_positions": [[0.0000, 0.0000, 0.0000], [0.5000, 0.5000, 0.0000], [0.0000, 0.5000, 0.5000], [0.5000, 0.0000, 0.5000], [0.5000, 0.5000, 0.5000]],
  "e_form_ev_per_atom": -0.278,
  "e_tot_ev_per_atom": -2.127,
  "space_group": "P4/mmm",
  "magnetic_moment_mub_per_fu": 0.00
}

=====

21.
{
  "formula": "Sr2CdHgPt",
  "functional": "PBE",
  "state": "optimized geometry",
  "lattice": [[5.8181, 0.0000, 0.0000], [0.0000, 5.8181, 0.0000], [0.0000, 0.0000, 5.2430]],
  "species": ["Sr", "Sr", "Cd", "Hg", "Pt"],
  "fractional_positions": [[0.0000, 0.5000, 0.0000], [0.5000, 0.0000, 0.0000], [0.0000, 0.0000, 0.5000], [0.5000, 0.5000, 0.5000], [0.0000, 0.0000, 0.0000]],
  "e_form_ev_per_atom": -0.480,
  "e_tot_ev_per_atom": -2.605,
  "e_above_lowest_polymorph_mev_per_atom": 0,
  "space_group": "P4/mmm",
  "magnetic_moment_mub_per_fu": 0.00
}

=====

22.
{
  "formula": "SrCd2HgPt",
  "functional": "PBE",
  "state": "optimized geometry",
  "lattice": [[5.2936, 0.0000, 0.0000], [0.0000, 5.2936, 0.0000], [0.0000, 0.0000, 5.6915]],
  "species": ["Sr", "Cd", "Cd", "Hg", "Pt"],
  "fractional_positions": [[0.0000, 0.0000, 0.0000], [0.0000, 0.5000, 0.5000], [0.5000, 0.0000, 0.5000], [0.5000, 0.5000, 0.0000], [0.0000, 0.0000, 0.5000]],
  "e_form_ev_per_atom": -0.323,
  "e_tot_ev_per_atom": -2.294,
  "e_above_lowest_polymorph_mev_per_atom": 0,
  "space_group": "P4/mmm",
  "magnetic_moment_mub_per_fu": 0.00
}

=====

23.
{
  "formula": "Sr2CdHgPt",
  "functional": "PBE",
  "state": "optimized geometry",
  "lattice": [[5.8231, 0.0000, 0.0000], [0.0000, 5.8231, 0.0000], [0.0000, 0.0000, 5.2786]],
  "species": ["Sr", "Sr", "Cd", "Hg", "Pt"],
  "fractional_positions": [[0.0000, 0.5000, 0.0000], [0.5000, 0.0000, 0.0000], [0.0000, 0.0000, 0.5000], [0.5000, 0.5000, 0.5000], [0.5000, 0.5000, 0.0000]],
  "e_form_ev_per_atom": -0.416,
  "e_tot_ev_per_atom": -2.540,
  "e_above_lowest_polymorph_mev_per_atom": 64,
  "space_group": "P4/mmm",
  "magnetic_moment_mub_per_fu": 0.00
}

=====

24.
{
  "formula": "Tb4CdHg2Pt",
  "functional": "PBE",
  "state": "optimized geometry",
  "lattice": [[2.6042, 1.5035, 8.4698], [-2.6042, 1.5035, 8.4698], [0.0000, -3.0070, 8.4698]],
  "species": ["Tb", "Tb", "Tb", "Tb", "Cd", "Hg", "Hg", "Pt"],
  "fractional_positions": [[0.1153, 0.1153, 0.1153], [0.3683, 0.3683, 0.3683], [0.6317, 0.6317, 0.6317], [0.8847, 0.8847, 0.8847], [0.5000, 0.5000, 0.5000], [0.2392, 0.2392, 0.2392], [0.7608, 0.7608, 0.7608], [0.0000, 0.0000, 0.0000]],
  "e_form_ev_per_atom": -0.639,
  "e_tot_ev_per_atom": -3.899,
  "space_group": "R-3m",
  "magnetic_moment_mub_per_fu": 0.00
}

=====

25.
{
  "formula": "TbCdHgPt",
  "functional": "PBE",
  "state": "optimized geometry",
  "lattice": [[0.0000, 3.5012, 3.5012], [3.5012, 0.0000, 3.5012], [3.5012, 3.5012, 0.0000]],
  "species": ["Tb", "Cd", "Hg", "Pt"],
  "fractional_positions": [[0.0000, 0.0000, 0.0000], [0.5000, 0.5000, 0.5000], [0.2500, 0.2500, 0.2500], [0.7500, 0.7500, 0.7500]],
  "e_form_ev_per_atom": -0.583,
  "e_tot_ev_per_atom": -3.555,
  "space_group": "F-43m",
  "magnetic_moment_mub_per_fu": 0.00
}

=====

26.
{
  "formula": "ThCdHgPt",
  "functional": "PBE",
  "state": "optimized geometry",
  "lattice": [[4.0738, 0.0000, 0.0000], [0.0000, 4.0738, 0.0000], [0.0000, 0.0000, 12.0454]],
  "species": ["Th", "Th", "Cd", "Cd", "Hg", "Hg", "Pt", "Pt"],
  "fractional_positions": [[0.2500, 0.2500, 0.1587], [0.7500, 0.7500, 0.8413], [0.2500, 0.7500, 0.5000], [0.7500, 0.2500, 0.5000], [0.2500, 0.2500, 0.6800], [0.7500, 0.7500, 0.3200], [0.2500, 0.2500, 0.9171], [0.7500, 0.7500, 0.0829]],
  "e_form_ev_per_atom": -0.490,
  "e_tot_ev_per_atom": -4.159,
  "e_above_lowest_polymorph_mev_per_atom": 42,
  "space_group": "P4/nmm",
  "magnetic_moment_mub_per_fu": 0.00
}